1.
Computed, not measured: an optimized crystal structure of AlRhCl at the GGA-PBE level of DFT.

Lattice parameters (Å, degrees): 3.1104 3.1104 6.1594 90.00 90.00 120.00
Last column: nearest neighbours and their distance in Å.
Fractional positions:
Cl  0.6667  0.3333  0.2749  3 Al 2.49
Rh  0.3333  0.6667  0.7314  3 Al 2.42
Al  0.0000  0.0000  0.9938  3 Rh 2.42, 3 Cl 2.49

Output
ΔE to the lowest computed polymorph: 0 meV per atom
N(E_F): 0.8 states/eV/cell
magnetic moment: 0.0 μB/cell
SG: P3m1, No. 156
raw formation energy: -158 kJ/mol of formula units

=====

2.
Computed, not measured: an optimized crystal structure of Al2RhCl at the GGA-PBE level of DFT.

Lattice parameters (Å, degrees): 8.3323 8.3323 8.3323 159.39 156.14 31.73
Last column: nearest neighbours and their distance in Å.
Fractional positions:
Al  0.9273  0.9273  0.0000  2 Rh 2.47, 4 Cl 2.75
Al  0.2443  0.7443  0.5000  4 Rh 2.47
Cl  0.5238  0.5238  0.0000  4 Al 2.75, 2 Cl 2.98
Rh  0.8046  0.3046  0.5000  6 Al 2.47

Output
ΔE to the lowest computed polymorph: 307 meV per atom
N(E_F): 1.5 states/eV/cell
magnetic moment: 0.0 μB/cell
SG: Imm2, No. 44
raw formation energy: -193 kJ/mol of formula units

=====

3.
Computed, not measured: an optimized crystal structure of AlSnRhCl2 at the GGA-PBE level of DFT.

Lattice parameters (Å, degrees): 4.7789 5.3512 4.7789 90.00 90.00 90.00
Last column: nearest neighbours and their distance in Å.
Fractional positions:
Cl  0.5000  0.0000  0.0000  2 Rh 2.39
Al  0.5000  0.5000  0.5000  4 Sn 3.38, 8 Cl 3.59
Cl  0.0000  0.0000  0.5000  2 Rh 2.39
Rh  0.0000  0.0000  0.0000  4 Cl 2.39, 2 Sn 2.68
Sn  0.0000  0.5000  0.0000  2 Rh 2.68

Output
N(E_F): 2.4 states/eV/cell
magnetic moment: 0.0 μB/cell
SG: P4/mmm, No. 123
raw formation energy: 12 kJ/mol of formula units

=====

4.
Computed, not measured: an optimized crystal structure of AlTeRh2Cl at the GGA-PBE level of DFT.

Lattice parameters (Å, degrees): 4.6270 5.1996 4.6270 90.00 90.00 90.00
Last column: nearest neighbours and their distance in Å.
Fractional positions:
Te  0.0000  0.5000  0.0000  2 Al 2.60
Rh  0.0000  0.0000  0.5000  2 Al 2.31
Rh  0.5000  0.0000  0.0000  2 Al 2.31
Cl  0.5000  0.5000  0.5000  4 Te 3.27, 8 Rh 3.48
Al  0.0000  0.0000  0.0000  4 Rh 2.31

Output
N(E_F): 6.5 states/eV/cell
magnetic moment: 0.2 μB/cell
SG: P4/mmm, No. 123
raw formation energy: 347 kJ/mol of formula units